# 1
Below is a geometry-optimized TaPt structure, with properties calculated at the GGA-PBE level.

Cell and atoms, written as CIF:
```
data_TaPt
_chemical_formula_sum 'Ta2 Pt2'
_symmetry_space_group_name_H-M 'P 63/m m c'
_symmetry_Int_Tables_number 194
_symmetry_space_group_name_Hall '-P 6c 2c'
_cell_length_a 2.8689
_cell_length_b 2.8689
_cell_length_c 9.3428
_cell_angle_alpha 90.00
_cell_angle_beta 90.00
_cell_angle_gamma 120.00
loop_
_atom_site_label
_atom_site_fract_x
_atom_site_fract_y
_atom_site_fract_z
Ta1 0.0000 0.0000 0.0000
Pt1 0.3333 0.6667 0.2500
```

Fermi-level density of states: 3.691 states/eV per cell
Formation energy: -0.366 eV/atom


# 2
Below is a geometry-optimized Ta2Pt structure, with properties calculated at the GGA-PBE level.

Cell and atoms, written as CIF:
```
data_Ta2Pt
_chemical_formula_sum 'Ta8 Pt4'
_symmetry_space_group_name_H-M 'F m -3 m'
_symmetry_Int_Tables_number 225
_symmetry_space_group_name_Hall '-F 4 2 3'
_cell_length_a 6.2358
_cell_length_b 6.2358
_cell_length_c 6.2358
_cell_angle_alpha 90.00
_cell_angle_beta 90.00
_cell_angle_gamma 90.00
loop_
_atom_site_label
_atom_site_fract_x
_atom_site_fract_y
_atom_site_fract_z
Ta1 0.2500 0.2500 0.2500
Pt1 0.0000 0.0000 0.0000
```

Fermi-level density of states: 17.475 states/eV per cell
Formation energy: 0.147 eV/atom


# 3
Below is a geometry-optimized Ta11Pt4 structure, with properties calculated at the GGA-PBE level.

Cell and atoms, written as CIF:
```
data_Ta11Pt4
_chemical_formula_sum 'Ta22 Pt8'
_symmetry_space_group_name_H-M 'P 42/m n m'
_symmetry_Int_Tables_number 136
_symmetry_space_group_name_Hall '-P 4n 2n'
_cell_length_a 10.0487
_cell_length_b 10.0487
_cell_length_c 5.2667
_cell_angle_alpha 90.00
_cell_angle_beta 90.00
_cell_angle_gamma 90.00
loop_
_atom_site_label
_atom_site_fract_x
_atom_site_fract_y
_atom_site_fract_z
Ta1 0.0000 0.0000 0.0000
Ta2 0.0668 0.2704 0.0000
Ta3 0.1040 0.1040 0.5000
Ta4 0.1795 0.8205 0.2508
Pt1 0.0381 0.3624 0.5000
```

Polymorph energy (0 for the lowest one): 0.050 eV/atom
Fermi-level density of states: 14.162 states/eV per cell
Formation energy: -0.384 eV/atom


# 4
Below is a geometry-optimized Ta3Pt structure, with properties calculated at the GGA-PBE level.

Cell and atoms, written as CIF:
```
data_Ta3Pt
_chemical_formula_sum 'Ta6 Pt2'
_symmetry_space_group_name_H-M 'I 4/m m m'
_symmetry_Int_Tables_number 139
_symmetry_space_group_name_Hall '-I 4 2'
_cell_length_a 4.0075
_cell_length_b 4.0075
_cell_length_c 8.7587
_cell_angle_alpha 90.00
_cell_angle_beta 90.00
_cell_angle_gamma 90.00
loop_
_atom_site_label
_atom_site_fract_x
_atom_site_fract_y
_atom_site_fract_z
Ta1 0.0000 0.0000 0.0000
Ta2 0.0000 0.5000 0.2500
Pt1 0.0000 0.0000 0.5000
```

Fermi-level density of states: 8.366 states/eV per cell
Formation energy: -0.254 eV/atom


# 5
Below is a geometry-optimized Ta2Pt structure, with properties calculated at the GGA-PBE level.

Cell and atoms, written as CIF:
```
data_Ta2Pt
_chemical_formula_sum 'Ta20 Pt10'
_symmetry_space_group_name_H-M 'P 42/m n m'
_symmetry_Int_Tables_number 136
_symmetry_space_group_name_Hall '-P 4n 2n'
_cell_length_a 9.9755
_cell_length_b 9.9755
_cell_length_c 5.1823
_cell_angle_alpha 90.00
_cell_angle_beta 90.00
_cell_angle_gamma 90.00
loop_
_atom_site_label
_atom_site_fract_x
_atom_site_fract_y
_atom_site_fract_z
Ta1 0.0373 0.3727 0.0000
Ta2 0.1058 0.1058 0.0000
Ta3 0.1793 0.8207 0.2475
Pt1 0.0000 0.0000 0.5000
Pt2 0.0664 0.2649 0.5000
```

Fermi-level density of states: 32.330 states/eV per cell
Formation energy: -0.487 eV/atom


# 6
Below is a geometry-optimized Ta3Pt structure, with properties calculated at the GGA-PBE level.

Cell and atoms, written as CIF:
```
data_Ta3Pt
_chemical_formula_sum 'Ta9 Pt3'
_symmetry_space_group_name_H-M 'R -3 m'
_symmetry_Int_Tables_number 166
_symmetry_space_group_name_Hall '-R 3 2"'
_cell_length_a 2.9163
_cell_length_b 2.9163
_cell_length_c 28.9763
_cell_angle_alpha 90.00
_cell_angle_beta 90.00
_cell_angle_gamma 120.00
loop_
_atom_site_label
_atom_site_fract_x
_atom_site_fract_y
_atom_site_fract_z
Ta1 0.0000 0.0000 0.0000
Ta2 0.0000 0.0000 0.2460
Pt1 0.0000 0.0000 0.5000
```

Fermi-level density of states: 12.772 states/eV per cell
Formation energy: -0.075 eV/atom


# 7
Below is a geometry-optimized Ta11Pt4 structure, with properties calculated at the GGA-PBE level.

Cell and atoms, written as CIF:
```
data_Ta11Pt4
_chemical_formula_sum 'Ta22 Pt8'
_symmetry_space_group_name_H-M 'P 42/m n m'
_symmetry_Int_Tables_number 136
_symmetry_space_group_name_Hall '-P 4n 2n'
_cell_length_a 10.0058
_cell_length_b 10.0058
_cell_length_c 5.2262
_cell_angle_alpha 90.00
_cell_angle_beta 90.00
_cell_angle_gamma 90.00
loop_
_atom_site_label
_atom_site_fract_x
_atom_site_fract_y
_atom_site_fract_z
Ta1 0.0000 0.0000 0.0000
Ta2 0.0394 0.3729 0.5000
Ta3 0.1018 0.1018 0.5000
Ta4 0.1828 0.8172 0.2533
Pt1 0.0681 0.2628 0.0000
```

Polymorph energy (0 for the lowest one): 0.000 eV/atom
Fermi-level density of states: 25.476 states/eV per cell
Formation energy: -0.434 eV/atom


# 8
Below is a geometry-optimized TaPt structure, with properties calculated at the GGA-PBE level.

Cell and atoms, written as CIF:
```
data_TaPt
_chemical_formula_sum 'Ta6 Pt6'
_symmetry_space_group_name_H-M 'C 1 m 1'
_symmetry_Int_Tables_number 8
_symmetry_space_group_name_Hall 'C -2y'
_cell_length_a 10.7239
_cell_length_b 2.8953
_cell_length_c 6.7433
_cell_angle_alpha 90.00
_cell_angle_beta 106.05
_cell_angle_gamma 90.00
loop_
_atom_site_label
_atom_site_fract_x
_atom_site_fract_y
_atom_site_fract_z
Ta1 0.0000 0.0000 0.0000
Ta2 0.0668 0.0000 0.5991
Ta3 0.3752 0.0000 0.2806
Pt1 0.1625 0.5000 0.3279
Pt2 0.2184 0.5000 0.9387
Pt3 0.3472 0.0000 0.6727
```

Fermi-level density of states: 8.631 states/eV per cell
Formation energy: -0.541 eV/atom


# 9
Below is a geometry-optimized TaPt3 structure, with properties calculated at the GGA-PBE level.

Cell and atoms, written as CIF:
```
data_TaPt3
_chemical_formula_sum 'Ta1 Pt3'
_symmetry_space_group_name_H-M 'P 4/m m m'
_symmetry_Int_Tables_number 123
_symmetry_space_group_name_Hall '-P 4 2'
_cell_length_a 2.8193
_cell_length_b 2.8193
_cell_length_c 8.1096
_cell_angle_alpha 90.00
_cell_angle_beta 90.00
_cell_angle_gamma 90.00
loop_
_atom_site_label
_atom_site_fract_x
_atom_site_fract_y
_atom_site_fract_z
Ta1 0.0000 0.0000 0.0000
Pt1 0.0000 0.0000 0.5000
Pt2 0.5000 0.5000 0.2412
```

Fermi-level density of states: 3.132 states/eV per cell
Formation energy: -0.465 eV/atom


# 10
Below is a geometry-optimized TaPt3 structure, with properties calculated at the GGA-PBE level.

Cell and atoms, written as CIF:
```
data_TaPt3
_chemical_formula_sum 'Ta3 Pt9'
_symmetry_space_group_name_H-M 'R -3 m'
_symmetry_Int_Tables_number 166
_symmetry_space_group_name_Hall '-R 3 2"'
_cell_length_a 2.8479
_cell_length_b 2.8479
_cell_length_c 27.7186
_cell_angle_alpha 90.00
_cell_angle_beta 90.00
_cell_angle_gamma 120.00
loop_
_atom_site_label
_atom_site_fract_x
_atom_site_fract_y
_atom_site_fract_z
Ta1 0.0000 0.0000 0.0000
Pt1 0.0000 0.0000 0.2526
Pt2 0.0000 0.0000 0.5000
```

Fermi-level density of states: 8.316 states/eV per cell
Formation energy: -0.332 eV/atom


# 11
Below is a geometry-optimized TaPt3 structure, with properties calculated at the GGA-PBE level.

Cell and atoms, written as CIF:
```
data_TaPt3
_chemical_formula_sum 'Ta2 Pt6'
_symmetry_space_group_name_H-M 'P m -3 n'
_symmetry_Int_Tables_number 223
_symmetry_space_group_name_Hall '-P 4n 2 3'
_cell_length_a 5.0850
_cell_length_b 5.0850
_cell_length_c 5.0850
_cell_angle_alpha 90.00
_cell_angle_beta 90.00
_cell_angle_gamma 90.00
loop_
_atom_site_label
_atom_site_fract_x
_atom_site_fract_y
_atom_site_fract_z
Ta1 0.0000 0.0000 0.0000
Pt1 0.0000 0.2500 0.5000
```

Fermi-level density of states: 7.488 states/eV per cell
Formation energy: -0.573 eV/atom


# 12
Below is a geometry-optimized TaPt7 structure, with properties calculated at the GGA-PBE level.

Cell and atoms, written as CIF:
```
data_TaPt7
_chemical_formula_sum 'Ta4 Pt28'
_symmetry_space_group_name_H-M 'F m -3 m'
_symmetry_Int_Tables_number 225
_symmetry_space_group_name_Hall '-F 4 2 3'
_cell_length_a 7.9711
_cell_length_b 7.9711
_cell_length_c 7.9711
_cell_angle_alpha 90.00
_cell_angle_beta 90.00
_cell_angle_gamma 90.00
loop_
_atom_site_label
_atom_site_fract_x
_atom_site_fract_y
_atom_site_fract_z
Ta1 0.0000 0.0000 0.0000
Pt1 0.0000 0.0000 0.5000
Pt2 0.0000 0.2500 0.2500
```

Polymorph energy (0 for the lowest one): 0.091 eV/atom
Fermi-level density of states: 39.478 states/eV per cell
Formation energy: -0.338 eV/atom